This record from Alexandria via LeMat-Bulk describes Fe5Pt4Rh after structural relaxation. The functional is PBE-GGA.

The structure in POSCAR format:
```
Fe5Pt4Rh
1.0
2.7310 0.0000 0.0000
0.0000 3.6893 0.0000
0.0000 0.0000 13.7226
Fe Pt Rh
5 4 1
Direct
0.0000 0.0000 0.0000
0.0000 0.0000 0.2028
0.0000 0.0000 0.4061
0.0000 0.0000 0.5939
0.0000 0.0000 0.7972
0.5000 0.5000 0.1010
0.5000 0.5000 0.3030
0.5000 0.5000 0.6970
0.5000 0.5000 0.8990
0.5000 0.5000 0.5000
```

Properties
M_tot	3.1	μB/cell
V	13.83	Å³ per atom
E_form	-0.20	eV per atom
ρ	13.962	g/cm3